1.
VASP calculation (GGA-PBE) on a relaxed structure of NaTl4Pb.

As for the electronic total energy: -2.449 eV/atom. The energy above the lowest structure with this stoichiometry is 17.3 meV per atom. The formation energy comes out at -0.2 eV per formula unit.

```
data_NaTl4Pb
_space_group_name_H-M_alt 'P 1 21/c 1'
_space_group_IT_number 14
_space_group_name_Hall '-P 2ybc'
_cell_length_a 6.685
_cell_length_b 9.782
_cell_length_c 5.575
_cell_angle_alpha 90.00
_cell_angle_beta 91.11
_cell_angle_gamma 90.00
loop_
_atom_site_label
_atom_site_type_symbol
_atom_site_fract_x
_atom_site_fract_y
_atom_site_fract_z
Na1 Na 0.000 0.000 0.000
Tl1 Tl 0.254 0.166 0.504
Tl2 Tl 0.256 0.666 0.002
Pb1 Pb 0.500 0.000 0.000
```


2.
VASP calculation (GGA-PBE) on a relaxed structure of NaTlPb.

As for the electronic total energy: -2.588 eV/atom. The formation energy comes out at -0.4 eV per formula unit.

```
data_NaTlPb
_space_group_name_H-M_alt 'C m c m'
_space_group_IT_number 63
_space_group_name_Hall '-C 2c 2'
_cell_length_a 3.528
_cell_length_b 18.198
_cell_length_c 5.486
_cell_angle_alpha 90.00
_cell_angle_beta 90.00
_cell_angle_gamma 90.00
loop_
_atom_site_label
_atom_site_type_symbol
_atom_site_fract_x
_atom_site_fract_y
_atom_site_fract_z
Na1 Na 0.000 0.111 0.250
Tl1 Tl 0.000 0.219 0.750
Pb1 Pb 0.000 0.446 0.250
```


3.
VASP calculation (GGA-PBE) on a relaxed structure of Na12Tl5Pb2.

As for the electronic total energy: -1.942 eV/atom. The energy above the lowest structure with this stoichiometry is 0.0 meV per atom. The formation energy comes out at -1.8 eV per formula unit.

```
data_Na12Tl5Pb2
_space_group_name_H-M_alt 'C 1 2/m 1'
_space_group_IT_number 12
_space_group_name_Hall '-C 2y'
_cell_length_a 19.900
_cell_length_b 10.929
_cell_length_c 5.480
_cell_angle_alpha 90.00
_cell_angle_beta 105.91
_cell_angle_gamma 90.00
loop_
_atom_site_label
_atom_site_type_symbol
_atom_site_fract_x
_atom_site_fract_y
_atom_site_fract_z
Na1 Na 0.090 0.000 0.087
Na2 Na 0.091 0.229 0.590
Na3 Na 0.099 0.500 0.099
Na4 Na 0.195 0.245 0.195
Tl1 Tl 0.000 0.500 0.500
Tl2 Tl 0.201 0.500 0.701
Tl3 Tl 0.211 0.000 0.709
Pb1 Pb 0.000 0.258 0.000
```


4.
VASP calculation (GGA-PBE) on a relaxed structure of Na2Tl12Pb5.

As for the electronic total energy: -2.529 eV/atom. The energy above the lowest structure with this stoichiometry is 82.7 meV per atom. The formation energy comes out at 1.5 eV per formula unit.

```
data_Na2Tl12Pb5
_space_group_name_H-M_alt 'C 1 2/m 1'
_space_group_IT_number 12
_space_group_name_Hall '-C 2y'
_cell_length_a 18.202
_cell_length_b 6.877
_cell_length_c 10.788
_cell_angle_alpha 90.00
_cell_angle_beta 103.03
_cell_angle_gamma 90.00
loop_
_atom_site_label
_atom_site_type_symbol
_atom_site_fract_x
_atom_site_fract_y
_atom_site_fract_z
Na1 Na 0.000 0.240 0.000
Tl1 Tl 0.009 0.000 0.357
Tl2 Tl 0.084 0.500 0.810
Tl3 Tl 0.164 0.248 0.597
Tl4 Tl 0.195 0.271 0.111
Pb1 Pb 0.000 0.500 0.500
Pb2 Pb 0.138 0.000 0.860
Pb3 Pb 0.177 0.000 0.342
```


> Which of these has the highest electronic total energy?

Na12Tl5Pb2


> Which of these has the lowest electronic total energy?

NaTlPb


> What is the electronic total energy in the first record?

-2.449 eV/atom